# 1
! MgCd2Ni, relaxed, DFT PBE; values from VASP
! Volume   80 Å³/f.u.
! SG   I-42d (122)
! ΔH_f (0 K)   0.22 eV per atom
&SYSTEM
  ibrav = 0, nat = 8, ntyp = 3
/
ATOMIC_SPECIES
Ni 58.69 Ni.upf
Mg 24.30 Mg.upf
Cd 112.41 Cd.upf
ATOMIC_POSITIONS crystal
Ni 0.000 0.000 0.000
Ni 0.750 0.250 0.500
Mg 0.500 0.500 0.000
Mg 0.250 0.750 0.500
Cd 0.640 0.125 0.250
Cd 0.110 0.625 0.250
Cd 0.375 0.360 0.750
Cd 0.875 0.890 0.750
CELL_PARAMETERS angstrom
-2.796 1.051 2.743
-2.856 -0.082 -2.879
-4.491 -8.955 1.853

---

# 2
! Ag2BrO, relaxed, DFT PBE; values from VASP
! E_form (uncorrected)   0.0 eV per formula unit
! Volume   87 Å³/f.u.
! SG   Cm (8)
! E above lowest polymorph   63 meV/atom
&SYSTEM
  ibrav = 0, nat = 4, ntyp = 3
/
ATOMIC_SPECIES
Ag 107.87 Ag.upf
Br 79.90 Br.upf
O 16.00 O.upf
ATOMIC_POSITIONS crystal
Ag 0.736 0.495 0.989
Ag 0.403 0.830 0.626
Br 0.403 0.828 0.222
O 0.736 0.496 0.682
CELL_PARAMETERS angstrom
3.766 -0.001 -0.001
-1.883 3.262 0.002
-0.002 0.000 7.118